The following is a PBE-GGA calculation of a geometry-optimized PdW structure, from Alexandria via LeMat-Bulk.

Calculated values
DOS(E_F)   0.66 states/eV per atom
Volume   15.60 Å³/atom
E   -107.42 eV per cell

```
data_PdW
_symmetry_space_group_name_H-M 'P m m n'
_symmetry_Int_Tables_number 59
_cell_length_a 2.730
_cell_length_b 13.798
_cell_length_c 4.969
_cell_angle_alpha 90.00
_cell_angle_beta 90.00
_cell_angle_gamma 90.00
loop_
_symmetry_equiv_pos_as_xyz
'x,y,z'
'-x,-y,-z'
'-x+1/2,-y+1/2,z'
'x+1/2,y+1/2,-z'
'x+1/2,-y,-z'
'-x+1/2,y,z'
'-x,y+1/2,-z'
'x,-y+1/2,z'
loop_
_atom_site_label
_atom_site_type_symbol
_atom_site_fract_x
_atom_site_fract_y
_atom_site_fract_z
Pd1 Pd 0.250 0.082 0.089
Pd2 Pd 0.250 0.750 0.730
W1 W 0.250 0.250 0.784
W2 W 0.250 0.586 0.415
```

---

The following is a PBE-GGA calculation of a geometry-optimized Pd7W structure, from Alexandria via LeMat-Bulk.

Calculated values
DOS(E_F)   0.76 states/eV per atom
Volume   15.34 Å³/atom
E   -99.72 eV per cell

```
data_Pd7W
_symmetry_space_group_name_H-M 'I 4/m m m'
_symmetry_Int_Tables_number 139
_symmetry_space_group_name_Hall '-I 4 2'
_cell_length_a 3.964
_cell_length_b 3.964
_cell_length_c 15.625
_cell_angle_alpha 90.00
_cell_angle_beta 90.00
_cell_angle_gamma 90.00
loop_
_atom_site_label
_atom_site_type_symbol
_atom_site_fract_x
_atom_site_fract_y
_atom_site_fract_z
Pd1 Pd 0.000 0.000 0.000
Pd2 Pd 0.000 0.000 0.248
Pd3 Pd 0.000 0.500 0.120
W1 W 0.000 0.000 0.500
```

---

The following is a PBE-GGA calculation of a geometry-optimized Pd4W structure, from Alexandria via LeMat-Bulk.

Calculated values
DOS(E_F)   0.85 states/eV per atom
Volume   15.31 Å³/atom
E   -67.87 eV per cell

```
data_Pd4W
_symmetry_space_group_name_H-M 'P -1'
_symmetry_Int_Tables_number 2
_cell_length_a 4.815
_cell_length_b 4.844
_cell_length_c 7.356
_cell_angle_alpha 70.84
_cell_angle_beta 71.13
_cell_angle_gamma 80.91
loop_
_symmetry_equiv_pos_as_xyz
'x,y,z'
'-x,-y,-z'
loop_
_atom_site_label
_atom_site_type_symbol
_atom_site_fract_x
_atom_site_fract_y
_atom_site_fract_z
Pd1 Pd 0.000 0.000 0.000
Pd2 Pd 0.001 0.200 0.602
Pd3 Pd 0.496 0.307 0.900
Pd4 Pd 0.498 0.891 0.703
Pd5 Pd 0.500 0.500 0.500
W1 W 0.001 0.598 0.807
```

---

The following is a PBE-GGA calculation of a geometry-optimized Pd3W structure, from Alexandria via LeMat-Bulk.

Calculated values
DOS(E_F)   0.74 states/eV per atom
Volume   15.17 Å³/atom
E   -57.30 eV per cell

```
data_Pd3W
_symmetry_space_group_name_H-M 'I 4/m m m'
_symmetry_Int_Tables_number 139
_symmetry_space_group_name_Hall '-I 4 2'
_cell_length_a 3.884
_cell_length_b 3.884
_cell_length_c 8.046
_cell_angle_alpha 90.00
_cell_angle_beta 90.00
_cell_angle_gamma 90.00
loop_
_atom_site_label
_atom_site_type_symbol
_atom_site_fract_x
_atom_site_fract_y
_atom_site_fract_z
Pd1 Pd 0.000 0.000 0.000
Pd2 Pd 0.000 0.500 0.250
W1 W 0.000 0.000 0.500
```

---

The following is a PBE-GGA calculation of a geometry-optimized PdW structure, from Alexandria via LeMat-Bulk.

Calculated values
DOS(E_F)   1.19 states/eV per atom
Volume   16.79 Å³/atom
E   -272.09 eV per cell

```
data_PdW
_symmetry_space_group_name_H-M 'F d d d'
_symmetry_Int_Tables_number 70
_cell_length_a 4.122
_cell_length_b 8.794
_cell_length_c 14.823
_cell_angle_alpha 90.00
_cell_angle_beta 90.00
_cell_angle_gamma 90.00
loop_
_symmetry_equiv_pos_as_xyz
'x,y,z'
'-x,-y,-z'
'-x+1/4,-y+1/4,z'
'x+1/4,y+1/4,-z'
'x,-y+1/4,-z+1/4'
'-x,y+1/4,z+1/4'
'-x+1/4,y,-z+1/4'
'x+1/4,-y,z+1/4'
'x,y+1/2,z+1/2'
'-x,-y+1/2,-z+1/2'
'-x+1/4,-y+3/4,z+1/2'
'x+1/4,y+3/4,-z+1/2'
'x,-y+3/4,-z+3/4'
'-x,y+3/4,z+3/4'
'-x+1/4,y+1/2,-z+3/4'
'x+1/4,-y+1/2,z+3/4'
'x+1/2,y,z+1/2'
'-x+1/2,-y,-z+1/2'
'-x+3/4,-y+1/4,z+1/2'
'x+3/4,y+1/4,-z+1/2'
'x+1/2,-y+1/4,-z+3/4'
'-x+1/2,y+1/4,z+3/4'
'-x+3/4,y,-z+3/4'
'x+3/4,-y,z+3/4'
'x+1/2,y+1/2,z'
'-x+1/2,-y+1/2,-z'
'-x+3/4,-y+3/4,z'
'x+3/4,y+3/4,-z'
'x+1/2,-y+3/4,-z+1/4'
'-x+1/2,y+3/4,z+1/4'
'-x+3/4,y+1/2,-z+1/4'
'x+3/4,-y+1/2,z+1/4'
loop_
_atom_site_label
_atom_site_type_symbol
_atom_site_fract_x
_atom_site_fract_y
_atom_site_fract_z
Pd1 Pd 0.125 0.276 0.125
W1 W 0.125 0.125 0.538
```

---

The following is a PBE-GGA calculation of a geometry-optimized Pd3W structure, from Alexandria via LeMat-Bulk.

Calculated values
DOS(E_F)   0.78 states/eV per atom
Volume   15.44 Å³/atom
E   -27.95 eV per cell

```
data_Pd3W
_symmetry_space_group_name_H-M 'P m -3 m'
_symmetry_Int_Tables_number 221
_symmetry_space_group_name_Hall '-P 4 2 3'
_cell_length_a 3.952
_cell_length_b 3.952
_cell_length_c 3.952
_cell_angle_alpha 90.00
_cell_angle_beta 90.00
_cell_angle_gamma 90.00
loop_
_atom_site_label
_atom_site_type_symbol
_atom_site_fract_x
_atom_site_fract_y
_atom_site_fract_z
Pd1 Pd 0.000 0.000 0.500
W1 W 0.500 0.500 0.500
```

---

The following is a PBE-GGA calculation of a geometry-optimized PdW structure, from Alexandria via LeMat-Bulk.

Calculated values
DOS(E_F)   0.96 states/eV per atom
Volume   16.95 Å³/atom
E   -104.47 eV per cell

```
data_PdW
_symmetry_space_group_name_H-M 'P 63/m'
_symmetry_Int_Tables_number 176
_symmetry_space_group_name_Hall '-P 6c'
_cell_length_a 9.3154
_cell_length_b 9.3154
_cell_length_c 2.7071
_cell_angle_alpha 90.00
_cell_angle_beta 90.00
_cell_angle_gamma 120.00
loop_
_atom_site_label
_atom_site_type_symbol
_atom_site_fract_x
_atom_site_fract_y
_atom_site_fract_z
Pd1 Pd 0.0534 0.2872 0.2500
W1 W 0.1482 0.6258 0.2500
```

---

The following is a PBE-GGA calculation of a geometry-optimized PdW structure, from Alexandria via LeMat-Bulk.

Calculated values
DOS(E_F)   0.67 states/eV per atom
Volume   16.11 Å³/atom
E   -105.92 eV per cell

```
data_PdW
_symmetry_space_group_name_H-M 'I m m 2'
_symmetry_Int_Tables_number 44
_cell_length_a 2.712
_cell_length_b 12.650
_cell_length_c 5.637
_cell_angle_alpha 90.00
_cell_angle_beta 90.00
_cell_angle_gamma 90.00
loop_
_symmetry_equiv_pos_as_xyz
'x,y,z'
'-x,-y,z'
'-x,y,z'
'x,-y,z'
'x+1/2,y+1/2,z+1/2'
'-x+1/2,-y+1/2,z+1/2'
'-x+1/2,y+1/2,z+1/2'
'x+1/2,-y+1/2,z+1/2'
loop_
_atom_site_label
_atom_site_type_symbol
_atom_site_fract_x
_atom_site_fract_y
_atom_site_fract_z
Pd1 Pd 0.000 0.000 0.000
Pd2 Pd 0.000 0.340 0.742
W1 W 0.000 0.000 0.496
W2 W 0.000 0.345 0.260
```

---

The following is a PBE-GGA calculation of a geometry-optimized PdW structure, from Alexandria via LeMat-Bulk.

Calculated values
DOS(E_F)   0.91 states/eV per atom
Volume   15.62 Å³/atom
E   -35.90 eV per cell

```
data_PdW
_symmetry_space_group_name_H-M 'P m m n'
_symmetry_Int_Tables_number 59
_cell_length_a 2.707
_cell_length_b 4.559
_cell_length_c 5.062
_cell_angle_alpha 90.00
_cell_angle_beta 90.00
_cell_angle_gamma 90.00
loop_
_symmetry_equiv_pos_as_xyz
'x,y,z'
'-x,-y,-z'
'-x+1/2,-y+1/2,z'
'x+1/2,y+1/2,-z'
'x+1/2,-y,-z'
'-x+1/2,y,z'
'-x,y+1/2,-z'
'x,-y+1/2,z'
loop_
_atom_site_label
_atom_site_type_symbol
_atom_site_fract_x
_atom_site_fract_y
_atom_site_fract_z
Pd1 Pd 0.250 0.250 0.091
W1 W 0.250 0.750 0.390
```

---

The following is a PBE-GGA calculation of a geometry-optimized Pd3W structure, from Alexandria via LeMat-Bulk.

Calculated values
DOS(E_F)   0.86 states/eV per atom
Volume   15.33 Å³/atom
E   -56.90 eV per cell

```
data_Pd3W
_symmetry_space_group_name_H-M 'I m m 2'
_symmetry_Int_Tables_number 44
_cell_length_a 2.789
_cell_length_b 9.073
_cell_length_c 4.847
_cell_angle_alpha 90.00
_cell_angle_beta 90.00
_cell_angle_gamma 90.00
loop_
_symmetry_equiv_pos_as_xyz
'x,y,z'
'-x,-y,z'
'-x,y,z'
'x,-y,z'
'x+1/2,y+1/2,z+1/2'
'-x+1/2,-y+1/2,z+1/2'
'-x+1/2,y+1/2,z+1/2'
'x+1/2,-y+1/2,z+1/2'
loop_
_atom_site_label
_atom_site_type_symbol
_atom_site_fract_x
_atom_site_fract_y
_atom_site_fract_z
Pd1 Pd 0.000 0.000 0.000
Pd2 Pd 0.000 0.245 0.656
W1 W 0.000 0.500 0.995
```

---

The following is a PBE-GGA calculation of a geometry-optimized Pd3W structure, from Alexandria via LeMat-Bulk.

Calculated values
DOS(E_F)   1.16 states/eV per atom
Volume   15.33 Å³/atom
E   -28.50 eV per cell

```
data_Pd3W
_symmetry_space_group_name_H-M 'P m m 2'
_symmetry_Int_Tables_number 25
_cell_length_a 2.781
_cell_length_b 4.521
_cell_length_c 4.877
_cell_angle_alpha 90.00
_cell_angle_beta 90.00
_cell_angle_gamma 90.00
loop_
_symmetry_equiv_pos_as_xyz
'x,y,z'
'-x,-y,z'
'-x,y,z'
'x,-y,z'
loop_
_atom_site_label
_atom_site_type_symbol
_atom_site_fract_x
_atom_site_fract_y
_atom_site_fract_z
Pd1 Pd 0.000 0.000 0.000
Pd2 Pd 0.000 0.500 0.316
Pd3 Pd 0.500 0.500 0.807
W1 W 0.500 0.000 0.501
```

---

The following is a PBE-GGA calculation of a geometry-optimized PdW structure, from Alexandria via LeMat-Bulk.

Calculated values
DOS(E_F)   1.59 states/eV per atom
Volume   17.86 Å³/atom
E   -62.36 eV per cell

```
data_PdW
_symmetry_space_group_name_H-M 'F m -3 m'
_symmetry_Int_Tables_number 225
_symmetry_space_group_name_Hall '-F 4 2 3'
_cell_length_a 5.228
_cell_length_b 5.228
_cell_length_c 5.228
_cell_angle_alpha 90.00
_cell_angle_beta 90.00
_cell_angle_gamma 90.00
loop_
_atom_site_label
_atom_site_type_symbol
_atom_site_fract_x
_atom_site_fract_y
_atom_site_fract_z
Pd1 Pd 0.000 0.000 0.000
W1 W 0.000 0.000 0.500
```

---

no.,energy of formation (meV per atom)
1,121.2
2,-69.5
3,-42.2
4,-29.6
5,570.1
6,145.8
7,367.1
8,246.7
9,98.7
10,20.7
11,6.9
12,1277.9